Here is a relaxed Ac3Sc2CoO9 crystal from Alexandria. Energies are from PBE with a Hubbard U.

Cell: 5.6975 5.6975 6.9943 Å, 90.00 90.00 120.00°
Space group P-3m1 (No. 164)
Symmetry-distinct sites (fractional):
Ac: 0.0000 0.0000 0.0000 x1
Ac: 0.3333 0.6667 0.6608 x2
Sc: 0.3333 0.6667 0.1737 x2
Co: 0.0000 0.0000 0.5000 x1
O: 0.0000 0.5000 0.0000 x3
O: 0.1603 0.3205 0.3420 x6

## Properties
V (Å³ per atom): 13.1
E (eV/cell): -120.21
Spin magnetization (μB per formula unit): 0.10